CeSmSc2 (GGA-PBE, optimized geometry); volume = 112.7 Å³/cell; size of the total moment = 0.46 μB/f.u.; excess energy over the best structure of this formula in the dataset = 0.0352 eV per atom; Fermi-level density of states = 1.91 states/eV per atom; energy of formation = 10.2 kJ/mol of atoms; crystal system = tetragonal
1.0
3.723 0.000 0.000
0.000 5.501 0.000
0.000 0.000 5.501
Sc Ce Sm
2 1 1
Direct
0.000 0.000 0.500
0.000 0.500 0.000
0.500 0.000 0.000
0.500 0.500 0.500

=====

LaV3Si (GGA-PBE, optimized geometry); volume = 99.7 Å³/cell; size of the total moment = 3.62 μB/f.u.; uncorrected formation energy = 542 meV per atom; excess energy over the best structure of this formula in the dataset = 0.0000 eV per atom; Fermi-level density of states = 1.97 states/eV per atom; crystal system = cubic
1.0
-3.213 -0.085 3.341
-3.336 -0.196 -3.213
0.201 -4.631 0.075
Si La V
1 1 3
Direct
0.000 0.000 0.000
0.500 0.500 0.500
0.000 0.500 0.000
0.000 0.000 0.500
0.500 0.000 0.000

=====

TeOs2Br (GGA-PBE, optimized geometry); volume = 71.4 Å³/cell; size of the total moment = 0.00 μB/f.u.; uncorrected formation energy = 1537 meV per atom; excess energy over the best structure of this formula in the dataset = 1.2169 eV per atom; Fermi-level density of states = 1.29 states/eV per atom; crystal system = tetragonal
1.0
5.396 0.000 0.000
2.537 4.762 0.000
-3.966 -2.381 2.778
Te Os Br
1 2 1
Direct
0.500 0.500 0.000
0.000 0.000 0.000
0.250 0.750 0.500
0.750 0.250 0.500